Entry from Alexandria via LeMat-Bulk: HfMgVF2 after structural relaxation (GGA+U). Values from VASP.

Values from the calculation:
* total magnetic moment: 4.3 μB/cell
* DFT total energy: -27.47 eV per cell

```
&SYSTEM
  ibrav = 0, nat = 5, ntyp = 4
/
ATOMIC_SPECIES
Hf 178.49 Hf.upf
Mg 24.30 Mg.upf
V 50.94 V.upf
F 19.00 F.upf
CELL_PARAMETERS angstrom
4.109 0.000 0.000
0.000 4.109 0.000
0.000 0.000 6.302
ATOMIC_POSITIONS angstrom
Hf 0.000 0.000 0.000
Mg 0.000 0.000 3.151
V 2.054 2.054 3.151
F 0.000 2.054 0.000
F 2.054 0.000 0.000
```

Entry from Alexandria via LeMat-Bulk: Hf2MnF after structural relaxation (GGA+U). Values from VASP.

Values from the calculation:
* total magnetic moment: 0.6 μB/cell
* DFT total energy: -54.07 eV per cell
* E above lowest polymorph: 154 meV/atom

```
&SYSTEM
  ibrav = 0, nat = 8, ntyp = 3
/
ATOMIC_SPECIES
Hf 178.49 Hf.upf
Mn 54.94 Mn.upf
F 19.00 F.upf
CELL_PARAMETERS angstrom
-2.472 2.472 6.198
2.472 -2.472 6.198
2.472 2.472 -6.198
ATOMIC_POSITIONS angstrom
Hf 3.709 1.083 -1.549
Hf 1.083 1.236 1.549
Hf -1.236 1.389 4.648
Hf 1.389 1.236 7.747
Mn 2.472 0.000 3.099
Mn 0.000 0.000 6.198
F 0.000 0.000 0.000
F 0.000 2.472 3.099
```